Model P:
First-principles (GGA-PBE) data for CePmIr2 after structural relaxation, as listed in the Alexandria database.

a = 3.9149 Å, b = 4.1818 Å, c = 5.8348 Å
α = 90.00°, β = 109.58°, γ = 90.00°
Closest atoms and distances in Å follow each position.
Atoms (fractional coordinates):
Ce  0.4435  0.5000  0.4268  7 Ir 2.91-3.17
Pm  0.7247  0.0000  0.9879  7 Ir 2.93-3.22
Ir  0.1704  0.5000  0.8791  2 Ir 2.86, 4 Pm 2.93, 3 Ce 3.01-3.17
Ir  0.9925  0.0000  0.5243  2 Ir 2.86, 4 Ce 2.91, 1 Pm 2.95

As for the theoretical density: 12.4 Mg/m³. The total magnetization is 0.0 μB per formula unit. For the volume, the calculation gives 90.0 Å³/f.u.



Model Q:
First-principles (GGA-PBE) data for CePmIr2 after structural relaxation, as listed in the Alexandria database.

a = 4.9667 Å, b = 4.9667 Å, c = 4.9667 Å
α = 60.00°, β = 60.00°, γ = 60.00°
Closest atoms and distances in Å follow each position.
Atoms (fractional coordinates):
Ir  0.2500  0.2500  0.2500  4 Ce 3.04, 4 Pm 3.04
Ir  0.7500  0.7500  0.7500  4 Pm 3.04, 4 Ce 3.04
Ce  0.5000  0.5000  0.5000  8 Ir 3.04
Pm  0.0000  0.0000  0.0000  8 Ir 3.04

As for the theoretical density: 12.8 Mg/m³. The total magnetization is 0.4 μB per formula unit. For the volume, the calculation gives 86.6 Å³/f.u.



Energy ordering: model P at the bottom, the next structure 9.9 kJ/mol of atoms above.



Model P:
First-principles (GGA-PBE) data for CePm3Ir3 after structural relaxation, as listed in the Alexandria database.

a = 7.1966 Å, b = 7.1966 Å, c = 7.0305 Å
α = 81.51°, β = 81.51°, γ = 80.41°
Closest atoms and distances in Å follow each position.
Atoms (fractional coordinates):
Ce  0.7884  0.7884  0.9534  4 Ir 2.72-2.93
Ce  0.2116  0.2116  0.0466  4 Ir 2.72-2.93
Pm  0.7067  0.7067  0.4978  5 Ir 2.97-3.06
Pm  0.1939  0.8061  0.5000  4 Ir 2.88-3.05
Pm  0.8061  0.1939  0.5000  4 Ir 2.88-3.05
Pm  0.2837  0.7163  0.0000  4 Ir 2.93-3.02
Pm  0.7163  0.2837  0.0000  4 Ir 2.93-3.02
Pm  0.2933  0.2933  0.5022  5 Ir 2.97-3.06
Ir  0.9449  0.9449  0.2093  2 Ce 2.72-2.93, 5 Pm 2.88-3.02, 1 Ir 2.96
Ir  0.9959  0.5021  0.7647  2 Ce 2.73-3.05, 2 Pm 2.93-2.97
Ir  0.5021  0.9959  0.7647  2 Ce 2.73-3.05, 2 Pm 2.93-2.97
Ir  0.0041  0.4979  0.2353  2 Ce 2.73-3.05, 2 Pm 2.93-2.97
Ir  0.4979  0.0041  0.2353  2 Ce 2.73-3.05, 2 Pm 2.93-2.97
Ir  0.0551  0.0551  0.7907  2 Ce 2.72-2.93, 5 Pm 2.88-3.02, 1 Ir 2.96

As for the theoretical density: 10.9 Mg/m³. The total magnetization is 0.0 μB per formula unit. For the volume, the calculation gives 176.1 Å³/f.u.



Model Q:
First-principles (GGA-PBE) data for CePm3Ir3 after structural relaxation, as listed in the Alexandria database.

a = 7.6420 Å, b = 7.6420 Å, c = 7.6420 Å
α = 67.64°, β = 67.64°, γ = 67.64°
Closest atoms and distances in Å follow each position.
Atoms (fractional coordinates):
Ce  0.3232  0.3232  0.3232  6 Ir 2.73-3.03
Ce  0.6768  0.6768  0.6768  6 Ir 2.73-3.03
Pm  0.8184  0.3684  0.1216  5 Ir 2.91-3.04
Pm  0.1216  0.8184  0.3684  5 Ir 2.91-3.04
Pm  0.3684  0.1216  0.8184  5 Ir 2.91-3.04
Pm  0.6316  0.8784  0.1816  5 Ir 2.91-3.04
Pm  0.8784  0.1816  0.6316  5 Ir 2.91-3.04
Pm  0.1816  0.6316  0.8784  5 Ir 2.91-3.04
Ir  0.5532  0.3103  0.9507  2 Ce 2.73-3.03, 5 Pm 2.91-3.04, 1 Ir 3.01
Ir  0.3103  0.9507  0.5532  2 Ce 2.73-3.03, 5 Pm 2.91-3.04, 1 Ir 3.01
Ir  0.9507  0.5532  0.3103  2 Ce 2.73-3.03, 5 Pm 2.91-3.04, 1 Ir 3.01
Ir  0.0493  0.4468  0.6897  2 Ce 2.73-3.03, 5 Pm 2.91-3.04, 1 Ir 3.01
Ir  0.6897  0.0493  0.4468  2 Ce 2.73-3.03, 5 Pm 2.91-3.04, 1 Ir 3.01
Ir  0.4468  0.6897  0.0493  2 Ce 2.73-3.03, 5 Pm 2.91-3.04, 1 Ir 3.01

As for the theoretical density: 10.4 Mg/m³. The total magnetization is 0.0 μB per formula unit. For the volume, the calculation gives 183.5 Å³/f.u.



Energy ordering: model Q at the bottom, the next structure 6.3 kJ/mol of atoms above.



Model P:
First-principles (GGA-PBE) data for CePm5Ir4 after structural relaxation, as listed in the Alexandria database.

a = 4.2031 Å, b = 7.6523 Å, c = 9.6490 Å
α = 113.41°, β = 102.58°, γ = 90.00°
Closest atoms and distances in Å follow each position.
Atoms (fractional coordinates):
Ce  0.5000  0.0000  0.0000  4 Ir 2.79
Pm  0.8347  0.5917  0.6695  4 Ir 2.84-3.05
Pm  0.8347  0.0784  0.6694  4 Ir 2.84-3.05
Pm  0.1653  0.9216  0.3306  4 Ir 2.84-3.05
Pm  0.5000  0.5000  0.0000  4 Ir 2.90
Pm  0.1653  0.4083  0.3305  4 Ir 2.84-3.05
Ir  0.3011  0.8013  0.6023  6 Pm 2.87-3.05
Ir  0.0000  0.7603  0.0000  2 Ce 2.79, 4 Pm 2.84-2.90
Ir  0.6989  0.1987  0.3977  6 Pm 2.87-3.05
Ir  0.0000  0.2397  0.0000  2 Ce 2.79, 4 Pm 2.84-2.90

As for the theoretical density: 9.8 Mg/m³. The total magnetization is 0.0 μB per formula unit. For the volume, the calculation gives 276.7 Å³/f.u.



Model Q:
First-principles (GGA-PBE) data for CePm5Ir4 after structural relaxation, as listed in the Alexandria database.

a = 4.7313 Å, b = 7.1329 Å, c = 8.1041 Å
α = 81.65°, β = 106.97°, γ = 90.00°
Closest atoms and distances in Å follow each position.
Atoms (fractional coordinates):
Ce  0.5000  0.0000  0.0000  6 Ir 2.85-2.88
Pm  0.1693  0.9456  0.3385  4 Ir 2.89-3.16
Pm  0.1659  0.4515  0.3318  5 Ir 2.90-3.23
Pm  0.8341  0.5485  0.6682  5 Ir 2.90-3.23
Pm  0.5000  0.5000  0.0000  6 Ir 3.03-3.05
Pm  0.8307  0.0544  0.6615  4 Ir 2.89-3.16
Ir  0.6525  0.7211  0.3050  1 Ce 2.85, 6 Pm 2.89-3.04
Ir  0.0061  0.2290  0.0121  2 Ce 2.88, 5 Pm 2.99-3.16
Ir  0.3475  0.2789  0.6950  1 Ce 2.85, 6 Pm 2.89-3.04
Ir  0.9939  0.7710  0.9879  2 Ce 2.88, 5 Pm 2.99-3.16

As for the theoretical density: 10.5 Mg/m³. The total magnetization is 0.0 μB per formula unit. For the volume, the calculation gives 258.5 Å³/f.u.



Energy ordering: model Q at the bottom, the next structure 2.5 kJ/mol of atoms above.



Model P:
First-principles (GGA-PBE) data for Ce3PrIr8 after structural relaxation, as listed in the Alexandria database.

a = 5.4216 Å, b = 5.4216 Å, c = 8.8157 Å
α = 90.00°, β = 90.00°, γ = 120.00°
Closest atoms and distances in Å follow each position.
Atoms (fractional coordinates):
Ce  0.6667  0.3333  0.4255  1 Ce 3.13, 12 Ir 3.13-3.27, 3 Pr 3.37
Ce  0.6667  0.3333  0.0707  4 Ce 3.13-3.36, 12 Ir 3.13-3.20
Ce  0.0000  0.0000  0.9329  12 Ir 3.14-3.18, 1 Pr 3.21, 3 Ce 3.36
Pr  0.0000  0.0000  0.5683  12 Ir 3.16-3.22, 4 Ce 3.21-3.37
Ir  0.3333  0.6667  0.5012  6 Ir 2.73-2.74
Ir  0.3333  0.6667  0.9992  6 Ir 2.69-2.70
Ir  0.5027  0.0054  0.7528  6 Ir 2.67-2.75
Ir  0.5027  0.4973  0.7528  6 Ir 2.67-2.75
Ir  0.9946  0.4973  0.7528  6 Ir 2.67-2.75
Ir  0.1650  0.3299  0.2480  6 Ir 2.68-2.74
Ir  0.1650  0.8350  0.2480  6 Ir 2.68-2.74
Ir  0.6701  0.8350  0.2480  6 Ir 2.68-2.74

As for the theoretical density: 15.5 Mg/m³. The total magnetization is 1.0 μB per formula unit. For the volume, the calculation gives 224.4 Å³/f.u.



Model Q:
First-principles (GGA-PBE) data for Ce3PrIr8 after structural relaxation, as listed in the Alexandria database.

a = 5.4127 Å, b = 5.4127 Å, c = 9.3663 Å
α = 73.21°, β = 73.21°, γ = 60.00°
Closest atoms and distances in Å follow each position.
Atoms (fractional coordinates):
Ce  0.3751  0.3751  0.8746  12 Ir 3.15-3.17, 4 Ce 3.29-3.31
Ce  0.0004  0.0004  0.9987  12 Ir 3.14-3.17, 3 Ce 3.31, 1 Pr 3.32
Ce  0.4995  0.4995  0.5016  12 Ir 3.18-3.21, 1 Ce 3.29, 3 Pr 3.32
Pr  0.8750  0.8750  0.3751  12 Ir 3.17-3.19, 4 Ce 3.32
Ir  0.9402  0.4375  0.1848  6 Ir 2.69-2.72
Ir  0.4351  0.9374  0.6901  6 Ir 2.69-2.72
Ir  0.4375  0.4375  0.1848  6 Ir 2.69-2.72
Ir  0.9374  0.9374  0.6901  6 Ir 2.69-2.72
Ir  0.1875  0.1875  0.4376  6 Ir 2.72
Ir  0.6874  0.6874  0.9377  6 Ir 2.69
Ir  0.4375  0.9402  0.1848  6 Ir 2.69-2.72
Ir  0.9374  0.4351  0.6901  6 Ir 2.69-2.72

As for the theoretical density: 15.6 Mg/m³. The total magnetization is 0.0 μB per formula unit. For the volume, the calculation gives 224.0 Å³/f.u.



Energy ordering: model Q at the bottom, the next structure 4.5 kJ/mol of atoms above.